[1]
DFT (GGA-PBE) results for a relaxed structure of RbSiMo3.

Excess energy over the best structure of this formula in the dataset ... 1.789 eV per atom
Uncorrected formation energy ... 3.42 eV/atom
Volume ... 20.6 A^3/atom

Cell: 4.687 4.687 4.687 Å, 90.00 90.00 90.00°
Space group Pm-3m (No. 221)
Unique sites:
Rb 0.000 0.000 0.000 [1 per cell]
Si 0.500 0.500 0.500 [1 per cell]
Mo 0.000 0.000 0.500 [3 per cell]

[2]
DFT (GGA-PBE) results for a relaxed structure of CsAcRe2O7.

Uncorrected formation energy ... -1.96 eV/atom
Volume ... 15.8 A^3/atom

Cell: 3.992 3.992 10.897 Å, 90.00 90.00 90.00°
Space group P4/mmm (No. 123)
Unique sites:
Cs 0.000 0.000 0.000 [1 per cell]
Ac 0.000 0.000 0.500 [1 per cell]
Re 0.500 0.500 0.310 [2 per cell]
O 0.000 0.500 0.330 [4 per cell]
O 0.500 0.500 0.145 [2 per cell]
O 0.500 0.500 0.500 [1 per cell]